1.
PBE TaSi4Tc, optimized geometry; symmetry = No. 216; D(E_F) = 5.89 states/eV/f.u.; uncorrected formation energy = 267 meV/atom; excess energy over the best structure of this formula in the dataset = 727 meV/atom
1.0
0.0000 3.4402 3.4402
3.4402 0.0000 3.4402
3.4402 3.4402 0.0000
Si Tc Ta
4 1 1
direct
0.3747 0.8759 0.3747 Si
0.8759 0.3747 0.3747 Si
0.3747 0.3747 0.8759 Si
0.3747 0.3747 0.3747 Si
0.0000 0.0000 0.0000 Tc
0.7500 0.7500 0.7500 Ta

2.
PBE Mg2In2Sn, optimized geometry; DFT formation energy = -31 meV/atom; symmetry = No. 15; D(E_F) = 1.87 states/eV/f.u.; excess energy over the best structure of this formula in the dataset = 0 meV/atom
1.0
-4.9480 1.0244 -1.1902
2.2059 2.0638 -7.3949
0.6788 -7.4351 2.0994
In Sn Mg
4 2 4
direct
0.6410 0.3910 0.6376 In
0.0033 0.1090 0.3624 In
0.9967 0.8910 0.6376 In
0.3590 0.6090 0.3624 In
0.1806 0.7500 0.0000 Sn
0.8194 0.2500 0.0000 Sn
0.2406 0.3315 0.8387 Mg
0.7594 0.6685 0.1613 Mg
0.4019 0.1685 0.1613 Mg
0.5981 0.8315 0.8387 Mg

3.
PBE LiEuMgGe, optimized geometry; DFT formation energy = -311 meV/atom; symmetry = No. 216; D(E_F) = 2.36 states/eV/f.u.
1.0
-0.2273 4.1247 2.8088
-1.0853 -0.3469 4.8637
3.5326 0.8925 3.4173
Mg Ge Li Eu
1 1 1 1
direct
0.7500 0.7500 0.7500 Mg
0.5000 0.5000 0.5000 Ge
0.0000 0.0000 0.0000 Li
0.2500 0.2500 0.2500 Eu

4.
PBE K2SrOsO4, optimized geometry; symmetry = No. 82; D(E_F) = 6.86 states/eV/f.u.; uncorrected formation energy = -1594 meV/atom
1.0
-2.6810 2.0672 4.6433
-0.4140 -5.7048 -0.5523
5.7001 0.7189 0.1181
O K Sr Os
4 2 1 1
direct
0.5800 0.2735 0.3524 O
0.4200 0.7724 0.6935 O
0.0789 0.3065 0.7265 O
0.9211 0.6476 0.2276 O
0.0000 0.0000 0.0000 K
0.5000 0.7500 0.2500 K
0.5000 0.2500 0.7500 Sr
0.0000 0.5000 0.5000 Os

5.
PBE PmEr6Mg, optimized geometry; DFT formation energy = 34 meV/atom; symmetry = No. 12; D(E_F) = 12.24 states/eV/f.u.; excess energy over the best structure of this formula in the dataset = 0 meV/atom
1.0
-4.3352 0.2848 -2.4127
-4.3790 -3.4764 2.3401
-5.1127 5.9779 4.7737
Pm Er Mg
1 6 1
direct
0.0000 0.5000 0.5000 Pm
0.7506 0.1272 0.3716 Er
0.7540 0.6150 0.8770 Er
0.5025 0.2431 0.7520 Er
0.4975 0.7569 0.2480 Er
0.2460 0.3850 0.1230 Er
0.2494 0.8728 0.6284 Er
0.0000 0.0000 0.0000 Mg

6.
PBE RbLaCu2Cl8, optimized geometry; symmetry = No. 82; D(E_F) = 10.81 states/eV/f.u.; uncorrected formation energy = -1304 meV/atom
1.0
-5.8849 2.4301 1.9133
-2.8610 -5.8395 -1.3828
5.6893 -0.5889 6.6968
Cl La Rb Cu
8 1 1 2
direct
0.0331 0.4186 0.3821 Cl
0.4705 0.3216 0.1693 Cl
0.6784 0.3012 0.8307 Cl
0.0366 0.9669 0.6179 Cl
0.1522 0.5295 0.8307 Cl
0.5814 0.6510 0.6179 Cl
0.3490 0.9634 0.3821 Cl
0.6988 0.8478 0.1693 Cl
0.7500 0.2500 0.5000 La
0.0000 0.0000 0.0000 Rb
0.5000 0.5000 0.0000 Cu
0.2500 0.7500 0.5000 Cu

- What is the formula in the second record?
  Mg2In2Sn

- What is the formula in the first record?
  TaSi4Tc

- Look up the D(E_F) of the fifth one.
  12.24 states/eV/f.u.